# 1
Compound: La2TiFe2
Source: Alexandria
Functional: PBE
Structure: optimized geometry

- energy relative to the elements (eV per atom) = 0.2392
- V (Å³ per atom) = 20.8

Cell lengths 6.6860, 6.6860, 4.6613 Å; angles 90.00, 90.00, 90.00 degrees
Atoms (fractional coordinates):
1 La 0.1826 0.3174 0.0000
2 La 0.3174 0.8174 0.0000
3 La 0.6826 0.1826 0.0000
4 La 0.8174 0.6826 0.0000
5 Ti 0.0000 0.0000 0.5000
6 Ti 0.5000 0.5000 0.5000
7 Fe 0.1158 0.6158 0.5000
8 Fe 0.3842 0.1158 0.5000
9 Fe 0.6158 0.8842 0.5000
10 Fe 0.8842 0.3842 0.5000

# 2
Compound: La2Ti2Fe
Source: Alexandria
Functional: PBE
Structure: optimized geometry

- energy relative to the elements (eV per atom) = 0.2174
- V (Å³ per atom) = 22.3

Cell lengths 6.3798, 6.3798, 5.4789 Å; angles 90.00, 90.00, 90.00 degrees
Atoms (fractional coordinates):
1 La 0.1721 0.3279 0.0000
2 La 0.3279 0.8279 0.0000
3 La 0.6721 0.1721 0.0000
4 La 0.8279 0.6721 0.0000
5 Ti 0.1622 0.6622 0.5000
6 Ti 0.3378 0.1622 0.5000
7 Ti 0.6622 0.8378 0.5000
8 Ti 0.8378 0.3378 0.5000
9 Fe 0.0000 0.0000 0.5000
10 Fe 0.5000 0.5000 0.5000